1.
A plane-wave DFT calculation with PBE-GGA was carried out for an optimized crystal structure of BSeN2.

Cell: 4.5829 4.5829 7.2763 Å, 90.00 90.00 90.00°
Space group I-42d (No. 122)
Symmetry-distinct sites (fractional):
B: 0.0000 0.0000 0.0000
Se: 0.0000 0.0000 0.5000
N: 0.1273 0.2500 0.1250

## Properties
As for the energy: -6.208 eV per atom. For the excess energy over the best structure of this formula in the dataset, the calculation gives 0 meV/atom. The crystal system is tetragonal. The calculation puts the density of states at the Fermi level at 5.14 states/eV/cell. The uncorrected formation energy comes out at 1.981 eV per formula unit. The total magnetization comes out at 0.00 Bohr magnetons per cell.


2.
A plane-wave DFT calculation with PBE-GGA was carried out for an optimized crystal structure of BSe2N.

Cell: 3.4883 3.4883 18.1998 Å, 90.00 90.00 120.00°
Space group R-3m (No. 166, hexagonal axes)
Symmetry-distinct sites (fractional):
B: 0.0000 0.0000 0.0000
Se: 0.0000 0.0000 0.4018
N: 0.0000 0.0000 0.5000

## Properties
As for the energy: -4.277 eV per atom. For the excess energy over the best structure of this formula in the dataset, the calculation gives 122 meV/atom. The crystal system is trigonal. The calculation puts the density of states at the Fermi level at 2.98 states/eV/cell. The uncorrected formation energy comes out at 4.865 eV per formula unit. The total magnetization comes out at 0.00 Bohr magnetons per cell.


3.
A plane-wave DFT calculation with PBE-GGA was carried out for an optimized crystal structure of BSeN2.

Cell: 2.7564 2.7564 16.7256 Å, 90.00 90.00 120.00°
Space group R-3m (No. 166, hexagonal axes)
Symmetry-distinct sites (fractional):
B: 0.0000 0.0000 0.0000
Se: 0.0000 0.0000 0.5000
N: 0.0000 0.0000 0.3832

## Properties
As for the energy: -5.757 eV per atom. For the excess energy over the best structure of this formula in the dataset, the calculation gives 451 meV/atom. The crystal system is trigonal. The calculation puts the density of states at the Fermi level at 3.90 states/eV/cell. The uncorrected formation energy comes out at 3.783 eV per formula unit. The total magnetization comes out at 0.00 Bohr magnetons per cell.


4.
A plane-wave DFT calculation with PBE-GGA was carried out for an optimized crystal structure of SiBSeN2.

Cell: 3.2711 3.2711 6.2903 Å, 90.00 90.00 90.00°
Space group P4/mmm (No. 123)
Symmetry-distinct sites (fractional):
Si: 0.0000 0.0000 0.0000
B: 0.5000 0.5000 0.5000
Se: 0.5000 0.5000 0.0000
N: 0.0000 0.5000 0.5000

## Properties
As for the energy: -5.220 eV per atom. For the excess energy over the best structure of this formula in the dataset, the calculation gives 294 meV/atom. The crystal system is tetragonal. The calculation puts the density of states at the Fermi level at 2.49 states/eV/cell. The uncorrected formation energy comes out at 6.137 eV per formula unit. The total magnetization comes out at 0.04 Bohr magnetons per cell.


> The lowest uncorrected formation energy belongs to which entry?

number 1